The following is a DFT calculation (PBE-GGA) of a geometry-optimized Pr7Mg3 structure.

The structure in POSCAR format:
```
Pr7Mg3
1.0
6.909 0.000 0.000
0.000 10.581 0.000
0.000 -5.291 9.164
Pr Mg
14 6
Direct
0.918 0.877 0.123 Pr
0.918 0.877 0.755 Pr
0.499 0.333 0.667 Pr
0.181 0.475 0.525 Pr
0.418 0.755 0.877 Pr
0.918 0.245 0.123 Pr
0.418 0.123 0.245 Pr
0.681 0.525 0.475 Pr
0.418 0.123 0.877 Pr
0.681 0.950 0.475 Pr
0.681 0.525 0.050 Pr
0.181 0.050 0.525 Pr
0.999 0.667 0.333 Pr
0.181 0.475 0.950 Pr
0.871 0.218 0.436 Mg
0.871 0.218 0.782 Mg
0.371 0.436 0.218 Mg
0.371 0.782 0.218 Mg
0.371 0.782 0.564 Mg
0.871 0.564 0.782 Mg
```

- V (Å³ per cell) = 669.9
- calculated formation energy (eV/f.u.) = 0.81
- total moment (μB per cell) = 0.00
- E_tot (eV/atom) = -3.743
- SG = P6_3mc


The following is a DFT calculation (PBE-GGA) of a geometry-optimized PrDy4Tm3 structure.

The structure in POSCAR format:
```
PrDy4Tm3
1.0
-3.076 3.031 3.615
-0.404 -2.864 2.057
12.313 1.644 4.712
Tm Dy Pr
3 4 1
Direct
0.000 0.500 0.000 Tm
0.156 0.000 0.312 Tm
0.844 0.000 0.688 Tm
0.724 0.501 0.449 Dy
0.394 0.501 0.789 Dy
0.606 0.499 0.211 Dy
0.276 0.499 0.551 Dy
0.500 0.000 0.000 Pr
```

- V (Å³ per cell) = 259.5
- calculated formation energy (eV/f.u.) = 1.89
- total moment (μB per cell) = 0.00
- E_tot (eV/atom) = -4.339
- SG = Cmmm
- excess energy over the best structure of this formula in the dataset (meV/atom) = 227.3


The following is a DFT calculation (PBE-GGA) of a geometry-optimized BeVFe3 structure.

The structure in POSCAR format:
```
BeVFe3
1.0
-3.138 2.022 -1.001
-1.377 -3.075 -1.894
-1.788 -1.181 3.217
Fe V Be
3 1 1
Direct
0.000 0.000 0.500 Fe
0.000 0.500 0.000 Fe
0.500 0.000 0.000 Fe
0.500 0.500 0.500 V
0.000 0.000 0.000 Be
```

- V (Å³ per cell) = 57.7
- calculated formation energy (eV/f.u.) = 2.03
- total moment (μB per cell) = 3.00
- E_tot (eV/atom) = -7.241
- SG = Pm-3m
- excess energy over the best structure of this formula in the dataset (meV/atom) = 0.0


The following is a DFT calculation (PBE-GGA) of a geometry-optimized NaNd2Y3Te6 structure.

The structure in POSCAR format:
```
NaNd2Y3Te6
1.0
4.403 0.000 0.000
0.000 8.935 0.281
-2.202 -2.616 9.352
Y Te Nd Na
3 6 2 1
Direct
0.167 0.828 0.334 Y
0.500 0.500 0.000 Y
0.833 0.172 0.666 Y
0.662 0.591 0.324 Te
0.338 0.409 0.676 Te
0.332 0.923 0.664 Te
0.001 0.746 0.001 Te
0.999 0.254 0.999 Te
0.668 0.077 0.336 Te
0.829 0.655 0.657 Nd
0.171 0.345 0.343 Nd
0.500 0.000 0.000 Na
```

- V (Å³ per cell) = 371.2
- total moment (μB per cell) = 0.00
- formation energy (no corrections) (meV per atom) = -1367
- E_tot (eV/atom) = -5.458
- SG = C2/m


The following is a DFT calculation (PBE-GGA) of a geometry-optimized KScAlFe structure.

The structure in POSCAR format:
```
KScAlFe
1.0
3.105 0.003 0.000
-0.003 3.104 0.000
-0.010 -0.027 9.287
Fe Sc K Al
1 1 1 1
Direct
0.201 0.923 0.243 Fe
0.700 0.422 0.078 Sc
0.202 0.928 0.688 K
0.701 0.424 0.379 Al
```

- V (Å³ per cell) = 89.5
- calculated formation energy (eV/f.u.) = 0.59
- total moment (μB per cell) = 0.36
- E_tot (eV/atom) = -4.762
- SG = P1
- excess energy over the best structure of this formula in the dataset (meV/atom) = 0.0


The following is a DFT calculation (PBE-GGA) of a geometry-optimized K2Ta2F structure.

The structure in POSCAR format:
```
K2Ta2F
1.0
-3.963 -4.789 -8.354
-8.212 -3.037 5.637
-1.520 2.640 -0.792
Ta K F
4 4 2
Direct
0.577 0.077 0.000 Ta
0.923 0.577 0.000 Ta
0.423 0.923 0.000 Ta
0.077 0.423 0.000 Ta
0.289 0.211 0.500 K
0.211 0.711 0.500 K
0.789 0.289 0.500 K
0.711 0.789 0.500 K
0.500 0.500 0.000 F
0.000 0.000 0.000 F
```

- V (Å³ per cell) = 341.3
- total moment (μB per cell) = 0.07
- formation energy (no corrections) (meV per atom) = 943
- E_tot (eV/atom) = -4.611
- SG = P4/mbm
- excess energy over the best structure of this formula in the dataset (meV/atom) = 0.0


The following is a DFT calculation (PBE-GGA) of a geometry-optimized Tb8Mg2Ag structure.

The structure in POSCAR format:
```
Tb8Mg2Ag
1.0
5.379 0.000 0.000
0.000 7.104 0.140
-2.689 -2.876 8.410
Tb Mg Ag
8 2 1
Direct
0.341 0.052 0.682 Tb
0.659 0.948 0.318 Tb
0.808 0.731 0.616 Tb
0.405 0.554 0.810 Tb
0.595 0.446 0.190 Tb
0.979 0.231 0.959 Tb
0.021 0.769 0.041 Tb
0.192 0.269 0.384 Tb
0.812 0.298 0.625 Mg
0.188 0.702 0.375 Mg
0.500 0.000 0.000 Ag
```

- V (Å³ per cell) = 323.5
- calculated formation energy (eV/f.u.) = 0.13
- total moment (μB per cell) = 0.00
- E_tot (eV/atom) = -3.905
- SG = C2/m


The following is a DFT calculation (PBE-GGA) of a geometry-optimized CrIn2Ru structure.

The structure in POSCAR format:
```
CrIn2Ru
1.0
-7.008 -4.345 3.376
-4.687 -5.636 5.064
-5.952 -2.898 5.963
In Ru Cr
2 1 1
Direct
0.996 0.996 0.996 In
0.504 0.504 0.504 In
0.250 0.250 0.250 Ru
0.750 0.750 0.750 Cr
```

- V (Å³ per cell) = 74.8
- calculated formation energy (eV/f.u.) = 1.61
- total moment (μB per cell) = 3.38
- E_tot (eV/atom) = -5.692
- SG = R-3m
- excess energy over the best structure of this formula in the dataset (meV/atom) = 255.9


The following is a DFT calculation (PBE-GGA) of a geometry-optimized Ac12Si7Ag structure.

The structure in POSCAR format:
```
Ac12Si7Ag
1.0
9.682 -0.332 -0.499
-3.011 9.208 -0.499
-3.011 -4.007 8.306
Si Ac Ag
7 12 1
Direct
0.024 0.938 0.245 Si
0.976 0.062 0.755 Si
0.245 0.024 0.938 Si
0.938 0.245 0.024 Si
0.062 0.755 0.976 Si
0.755 0.976 0.062 Si
0.500 0.500 0.500 Si
0.256 0.111 0.652 Ac
0.889 0.348 0.744 Ac
0.652 0.256 0.111 Ac
0.111 0.652 0.256 Ac
0.405 0.103 0.320 Ac
0.595 0.897 0.680 Ac
0.680 0.595 0.897 Ac
0.103 0.320 0.405 Ac
0.897 0.680 0.595 Ac
0.744 0.889 0.348 Ac
0.320 0.405 0.103 Ac
0.348 0.744 0.889 Ac
0.000 0.000 0.000 Ag
```

- V (Å³ per cell) = 692.5
- total moment (μB per cell) = 0.00
- formation energy (no corrections) (meV per atom) = -275
- E_tot (eV/atom) = -4.781
- SG = R-3


The following is a DFT calculation (PBE-GGA) of a geometry-optimized InTc3O12 structure.

The structure in POSCAR format:
```
InTc3O12
1.0
8.088 0.000 3.906
3.101 7.470 3.906
-0.273 -0.182 10.893
O Tc In
24 6 2
Direct
0.619 0.617 0.606 O
0.384 0.482 0.368 O
0.658 0.117 0.106 O
0.265 0.982 0.868 O
0.950 0.007 0.436 O
0.617 0.158 0.606 O
0.982 0.884 0.868 O
0.482 0.765 0.368 O
0.197 0.283 0.609 O
0.884 0.265 0.868 O
0.450 0.107 0.936 O
0.117 0.119 0.106 O
0.697 0.411 0.109 O
0.411 0.783 0.109 O
0.507 0.450 0.936 O
0.783 0.697 0.109 O
0.765 0.384 0.368 O
0.911 0.197 0.609 O
0.007 0.607 0.436 O
0.107 0.507 0.936 O
0.119 0.658 0.106 O
0.607 0.950 0.436 O
0.158 0.619 0.606 O
0.283 0.911 0.609 O
0.500 0.810 0.505 Tc
0.685 0.310 0.005 Tc
0.810 0.185 0.505 Tc
0.185 0.500 0.505 Tc
0.310 0.000 0.005 Tc
0.000 0.685 0.005 Tc
0.587 0.587 0.240 In
0.087 0.087 0.740 In
```

- V (Å³ per cell) = 669.7
- total moment (μB per cell) = 0.27
- formation energy (no corrections) (meV per atom) = -1367
- E_tot (eV/atom) = -7.200
- SG = R3c


The following is a DFT calculation (PBE-GGA) of a geometry-optimized MnMoPd2 structure.

The structure in POSCAR format:
```
MnMoPd2
1.0
-3.577 0.277 0.688
-0.741 -1.318 -3.326
-2.170 -9.025 2.054
Pd Mo Mn
4 2 2
Direct
0.875 0.868 0.750 Pd
0.618 0.125 0.250 Pd
0.132 0.625 0.250 Pd
0.375 0.382 0.750 Pd
0.000 0.000 0.000 Mo
0.750 0.250 0.500 Mo
0.500 0.500 0.000 Mn
0.250 0.750 0.500 Mn
```

- V (Å³ per cell) = 122.1
- calculated formation energy (eV/f.u.) = 2.00
- total moment (μB per cell) = 0.00
- E_tot (eV/atom) = -7.097
- SG = I-42d
- excess energy over the best structure of this formula in the dataset (meV/atom) = 363.7


The following is a DFT calculation (PBE-GGA) of a geometry-optimized Nd2DyTmSe6 structure.

The structure in POSCAR format:
```
Nd2DyTmSe6
1.0
-6.560 -3.237 0.471
-3.600 -1.892 -6.099
-0.507 -7.532 -1.770
Tm Se Nd Dy
1 6 2 1
Direct
0.320 0.319 0.041 Tm
0.938 0.600 0.257 Se
0.600 0.205 0.257 Se
0.205 0.938 0.257 Se
0.104 0.434 0.759 Se
0.434 0.703 0.759 Se
0.703 0.104 0.759 Se
0.019 0.019 0.942 Nd
0.520 0.520 0.440 Nd
0.819 0.819 0.544 Dy
```

- V (Å³ per cell) = 302.3
- total moment (μB per cell) = 0.00
- formation energy (no corrections) (meV per atom) = -1841
- E_tot (eV/atom) = -5.793
- SG = R3


The following is a DFT calculation (PBE-GGA) of a geometry-optimized Y2Ni3Ge4Pt structure.

The structure in POSCAR format:
```
Y2Ni3Ge4Pt
1.0
-0.556 3.883 -1.291
-3.313 -1.192 -2.157
-5.708 1.771 7.787
Ni Ge Y Pt
3 4 2 1
Direct
0.000 0.000 0.500 Ni
0.000 0.500 0.121 Ni
0.500 0.000 0.879 Ni
0.000 0.000 0.000 Ge
0.500 0.000 0.642 Ge
0.500 0.500 0.000 Ge
0.000 0.500 0.358 Ge
0.000 0.500 0.755 Y
0.500 0.000 0.245 Y
0.500 0.500 0.500 Pt
```

- V (Å³ per cell) = 167.4
- calculated formation energy (eV/f.u.) = -7.47
- total moment (μB per cell) = 0.00
- E_tot (eV/atom) = -6.225
- SG = P-4m2


The following is a DFT calculation (PBE-GGA) of a geometry-optimized Tb12DySc3 structure.

The structure in POSCAR format:
```
Tb12DySc3
1.0
4.960 0.000 0.000
0.000 4.960 0.000
0.000 0.000 19.773
Tb Sc Dy
12 3 1
Direct
0.500 0.000 0.129 Tb
0.500 0.000 0.871 Tb
0.500 0.500 0.253 Tb
0.500 0.000 0.624 Tb
0.000 0.500 0.129 Tb
0.500 0.500 0.500 Tb
0.500 0.500 0.747 Tb
0.000 0.500 0.376 Tb
0.500 0.500 0.000 Tb
0.500 0.000 0.376 Tb
0.000 0.500 0.871 Tb
0.000 0.500 0.624 Tb
0.000 0.000 0.748 Sc
0.000 0.000 0.500 Sc
0.000 0.000 0.252 Sc
0.000 0.000 0.000 Dy
```

- V (Å³ per cell) = 486.5
- calculated formation energy (eV/f.u.) = 0.54
- total moment (μB per cell) = 0.00
- E_tot (eV/atom) = -4.913
- SG = P4/mmm


The following is a DFT calculation (PBE-GGA) of a geometry-optimized Pr6Mg2C structure.

The structure in POSCAR format:
```
Pr6Mg2C
1.0
-5.464 3.307 -3.603
-4.276 -0.608 5.926
3.351 9.198 3.362
Pr Mg C
12 4 2
Direct
0.758 0.758 0.501 Pr
0.242 0.758 0.499 Pr
0.999 0.000 0.257 Pr
0.258 0.258 0.001 Pr
0.258 0.742 0.001 Pr
0.242 0.242 0.499 Pr
0.001 0.000 0.743 Pr
0.501 0.500 0.243 Pr
0.758 0.242 0.501 Pr
0.742 0.258 0.999 Pr
0.742 0.742 0.999 Pr
0.499 0.500 0.757 Pr
0.500 0.000 0.250 Mg
0.000 0.500 0.750 Mg
0.500 0.000 0.750 Mg
0.000 0.500 0.250 Mg
0.000 0.000 0.500 C
0.500 0.500 0.000 C
```

- V (Å³ per cell) = 556.6
- calculated formation energy (eV/f.u.) = -0.33
- total moment (μB per cell) = 3.03
- E_tot (eV/atom) = -4.603
- SG = C2/m


The following is a DFT calculation (PBE-GGA) of a geometry-optimized AgAsH3 structure.

The structure in POSCAR format:
```
AgAsH3
1.0
3.744 0.000 0.000
0.000 3.744 0.000
0.000 0.000 3.744
Ag H As
1 3 1
Direct
0.000 0.000 0.000 Ag
0.500 0.000 0.000 H
0.000 0.500 0.000 H
0.000 0.000 0.500 H
0.500 0.500 0.500 As
```

- V (Å³ per cell) = 52.5
- total moment (μB per cell) = 0.00
- E_tot (eV/atom) = -2.647
- SG = Pm-3m
- excess energy over the best structure of this formula in the dataset (meV/atom) = 215.2


The following is a DFT calculation (PBE-GGA) of a geometry-optimized Pr2MnGe4Ir3 structure.

The structure in POSCAR format:
```
Pr2MnGe4Ir3
1.0
-1.227 0.834 -4.000
-3.710 -1.979 0.725
-4.163 8.955 3.144
Ge Pr Ir Mn
4 2 3 1
Direct
0.000 0.500 0.366 Ge
0.500 0.500 0.000 Ge
0.500 0.000 0.634 Ge
0.000 0.000 0.000 Ge
0.000 0.500 0.755 Pr
0.500 0.000 0.245 Pr
0.000 0.500 0.126 Ir
0.000 0.000 0.500 Ir
0.500 0.000 0.874 Ir
0.500 0.500 0.500 Mn
```

- V (Å³ per cell) = 188.6
- calculated formation energy (eV/f.u.) = -6.70
- total moment (μB per cell) = 2.96
- E_tot (eV/atom) = -7.048
- SG = P-4m2


The following is a DFT calculation (PBE-GGA) of a geometry-optimized La2Er5TmTh structure.

The structure in POSCAR format:
```
La2Er5TmTh
1.0
5.598 0.000 0.000
-2.799 9.810 0.000
0.000 0.000 10.907
Er Tm Th La
10 2 2 4
Direct
0.518 0.036 0.237 Er
0.482 0.964 0.737 Er
0.299 0.598 0.709 Er
0.014 0.028 0.027 Er
0.719 0.438 0.811 Er
0.390 0.780 0.019 Er
0.701 0.402 0.209 Er
0.986 0.972 0.527 Er
0.610 0.220 0.519 Er
0.281 0.562 0.311 Er
0.799 0.597 0.509 Tm
0.201 0.403 0.009 Tm
0.417 0.834 0.463 Th
0.583 0.166 0.963 Th
0.115 0.231 0.735 La
0.885 0.769 0.814 La
0.115 0.231 0.314 La
0.885 0.769 0.235 La
```

- V (Å³ per cell) = 599.0
- calculated formation energy (eV/f.u.) = 1.50
- total moment (μB per cell) = 0.00
- E_tot (eV/atom) = -4.784
- SG = Cmc2_1


The following is a DFT calculation (PBE-GGA) of a geometry-optimized MgMoC2N structure.

The structure in POSCAR format:
```
MgMoC2N
1.0
4.076 0.000 0.000
0.000 3.976 0.000
0.000 0.000 4.076
Mg C N Mo
1 2 1 1
Direct
0.500 0.500 0.500 Mg
0.000 0.000 0.500 C
0.500 0.000 0.000 C
0.000 0.500 0.000 N
0.000 0.000 0.000 Mo
```

- V (Å³ per cell) = 66.1
- total moment (μB per cell) = 0.00
- formation energy (no corrections) (meV per atom) = 1163
- E_tot (eV/atom) = -6.676
- SG = P4/mmm


The following is a DFT calculation (PBE-GGA) of a geometry-optimized Tb2Ho8In structure.

The structure in POSCAR format:
```
Tb2Ho8In
1.0
-4.367 -3.146 0.085
2.300 -3.364 -6.319
5.290 -2.529 7.746
Ho Tb In
8 2 1
Direct
0.638 0.869 0.275 Ho
0.362 0.131 0.725 Ho
0.638 0.406 0.275 Ho
0.000 0.260 0.000 Ho
0.362 0.594 0.725 Ho
0.180 0.180 0.361 Ho
0.000 0.740 0.000 Ho
0.820 0.820 0.639 Ho
0.194 0.694 0.387 Tb
0.806 0.306 0.613 Tb
0.500 0.000 0.000 In
```

- V (Å³ per cell) = 345.8
- calculated formation energy (eV/f.u.) = 0.04
- total moment (μB per cell) = 0.00
- E_tot (eV/atom) = -4.417
- SG = Immm
- excess energy over the best structure of this formula in the dataset (meV/atom) = 66.0